1.
Density functional theory data (PBE) for a relaxed structure of Ce3Ni2Ge4.

Results
Energy relative to the lowest polymorph listed for this composition, meV/atom: 22.4
M_tot, μB per formula unit: 1.46
DFT total energy, eV/atom: -6.025
Symmetry: C2/m (12)
ΔH_f (0 K), eV/f.u.: -6.4

Geometry as CIF:
```
data_Ce3Ni2Ge4
_chemical_formula_sum 'Ce3 Ni2 Ge4'
_symmetry_space_group_name_H-M 'P 1'
_symmetry_Int_Tables_number 1
_symmetry_space_group_name_Hall 'P 1'
_cell_length_a 5.8845
_cell_length_b 5.8845
_cell_length_c 8.3501
_cell_angle_alpha 110.84
_cell_angle_beta 110.84
_cell_angle_gamma 41.93
loop_
_atom_site_label
_atom_site_type_symbol
_atom_site_fract_x
_atom_site_fract_y
_atom_site_fract_z
Ce1 Ce 0.0000 0.0000 0.0000
Ce2 Ce 0.3893 0.3893 0.3329
Ce3 Ce 0.6107 0.6107 0.6671
Ni1 Ni 0.3188 0.3188 0.6735
Ni2 Ni 0.6812 0.6812 0.3265
Ge1 Ge 0.1167 0.1167 0.3981
Ge2 Ge 0.2809 0.2809 0.9321
Ge3 Ge 0.7191 0.7191 0.0679
Ge4 Ge 0.8833 0.8833 0.6019
```

***

2.
Density functional theory data (PBE) for a relaxed structure of Tb2CdHgPd4.

Results
M_tot, μB per formula unit: 0.00
DFT total energy, eV/atom: -4.607
Symmetry: R-3m (166)
ΔH_f (0 K), eV/f.u.: -5.6

Geometry as CIF:
```
data_Tb2CdHgPd4
_chemical_formula_sum 'Tb2 Cd1 Hg1 Pd4'
_symmetry_space_group_name_H-M 'P 1'
_symmetry_Int_Tables_number 1
_symmetry_space_group_name_Hall 'P 1'
_cell_length_a 8.3486
_cell_length_b 8.3486
_cell_length_c 8.3486
_cell_angle_alpha 33.42
_cell_angle_beta 33.42
_cell_angle_gamma 33.42
loop_
_atom_site_label
_atom_site_type_symbol
_atom_site_fract_x
_atom_site_fract_y
_atom_site_fract_z
Tb1 Tb 0.2486 0.2486 0.2486
Tb2 Tb 0.7514 0.7514 0.7514
Cd1 Cd 0.0000 0.0000 0.0000
Hg1 Hg 0.5000 0.5000 0.5000
Pd1 Pd 0.1235 0.1235 0.1235
Pd2 Pd 0.3725 0.3725 0.3725
Pd3 Pd 0.6275 0.6275 0.6275
Pd4 Pd 0.8765 0.8765 0.8765
```